# 1
Ta5MnNb2 after structural relaxation. Source: Alexandria, functional PBE.

a = 6.541 Å, b = 13.125 Å, c = 3.233 Å
α = 90.00°, β = 90.00°, γ = 90.00°
Space group Pbam (No. 55)
Symmetry-distinct sites (fractional):
Ta (0.000, 0.000, 0.000)
Ta (0.012, 0.247, 0.000)
Ta (0.228, 0.618, 0.500)
Mn (0.000, 0.500, 0.000)
Nb (0.249, 0.378, 0.500)

Properties
Formation energy (eV per atom): -0.016
Magnetization (μB per atom): 0.00
Calculated total energy (eV/atom): -11.09

# 2
Cd2Hg4Pb after structural relaxation. Source: Alexandria, functional PBE.

a = 6.181 Å, b = 31.336 Å, c = 3.160 Å
α = 90.00°, β = 90.00°, γ = 90.00°
Space group Cmmm (No. 65)
Symmetry-distinct sites (fractional):
Cd (0.000, 0.180, 0.000)
Hg (0.000, 0.088, 0.000)
Hg (0.250, 0.250, 0.500)
Pb (0.000, 0.000, 0.500)

Properties
Formation energy (eV per atom): 0.192
Magnetization (μB per atom): 0.00
Calculated total energy (eV/atom): -0.77
Distance to the lowest polymorph of the same formula (meV per atom): 146.7